Density functional theory data (PBE) for a relaxed GaAsRuSe2 crystal.

```
GaAsRuSe2
1.0
5.118 0.000 0.000
0.000 5.118 0.000
0.000 0.000 4.648
Se Ru Ga As
2 1 1 1
Cartesian
2.559 0.000 0.000
0.000 2.559 0.000
0.000 0.000 0.000
2.559 2.559 2.324
0.000 0.000 2.324
```

Results
Formation energy from raw total energies (eV per atom): 0.3466
Space group: P4/mmm (123)

***

Density functional theory data (PBE) for a relaxed SrS3N crystal.

```
SrS3N
1.0
-0.407 -3.582 2.512
2.044 -2.386 -3.072
3.869 0.884 1.887
Sr S N
1 3 1
Cartesian
2.753 -2.542 0.664
1.022 -1.193 -1.536
1.934 0.442 0.943
-0.203 -1.791 1.256
0.000 0.000 0.000
```

Results
Formation energy from raw total energies (eV per atom): 0.1417
Space group: Pm-3m (221)

***

Density functional theory data (PBE) for a relaxed Pr4InOs crystal.

```
Pr4InOs
1.0
6.294 -0.722 0.000
-2.505 8.886 0.000
-1.894 -4.082 6.892
Pr In Os
8 2 2
Cartesian
-1.152 5.385 4.556
3.047 -1.303 2.335
3.448 5.793 1.040
1.794 3.140 4.556
3.488 2.010 1.040
-1.593 2.072 5.852
0.100 0.942 2.335
-1.554 -1.711 5.852
1.573 -0.180 5.197
0.321 4.262 1.694
0.321 4.262 6.891
1.573 -0.180 0.000
```

Results
Energy of formation from the pure elements (kcal/mol of atoms): -5.05
Space group: C2/c (15)

***

Density functional theory data (PBE) for a relaxed Sr4CdAg2 crystal.

```
Sr4CdAg2
1.0
0.825 -5.231 1.860
4.931 -2.539 -0.858
4.992 0.707 8.241
Sr Ag Cd
4 2 1
Cartesian
6.918 -6.523 3.991
4.234 -4.754 1.689
6.514 -2.309 7.553
3.830 -0.539 5.251
2.686 -1.767 2.308
8.062 -5.296 6.934
0.000 0.000 0.000
```

Results
Energy of formation from the pure elements (kcal/mol of atoms): -5.01
Space group: R-3m (166)

***

Density functional theory data (PBE) for a relaxed LaPmPd6 crystal.

```
LaPmPd6
1.0
-2.029 -3.273 1.708
3.213 -0.604 2.657
-3.630 5.153 5.562
Pd Pm La
6 1 1
Cartesian
-1.126 3.576 5.514
0.708 0.973 2.704
0.592 -1.939 2.183
-1.912 -0.362 2.230
-1.223 0.638 4.964
-3.747 2.242 5.040
0.000 0.000 0.000
-1.815 2.577 2.781
```

Results
Energy of formation from the pure elements (kcal/mol of atoms): -18.22
Space group: P4/mmm (123)

***

Density functional theory data (PBE) for a relaxed ZrCoRu2 crystal.

```
ZrCoRu2
1.0
4.427 0.000 0.000
2.214 3.834 0.000
2.214 1.278 3.615
Ru Co Zr
2 1 1
Cartesian
2.214 1.278 0.904
0.000 0.000 0.000
4.427 2.556 1.807
6.641 3.834 2.711
```

Results
Energy of formation from the pure elements (kcal/mol of atoms): 1.08
Space group: F-43m (216)

***

Density functional theory data (PBE) for a relaxed NaIn4Ga crystal.

```
NaIn4Ga
1.0
-2.985 -3.783 -2.669
5.514 -5.617 1.796
-2.190 0.310 7.695
Ga In Na
2 8 2
Cartesian
3.057 -4.676 3.209
-2.719 -4.414 3.613
-0.384 -5.959 3.192
2.067 -6.352 1.007
0.722 -3.131 3.630
0.000 0.000 0.000
1.611 -7.992 3.842
2.757 -2.809 0.898
-1.729 -2.738 5.816
-1.273 -1.098 2.980
1.398 -5.388 6.075
-1.059 -3.702 0.747
```

Results
Energy of formation from the pure elements (kcal/mol of atoms): 0.92
Space group: Cmcm (63)

***

Density functional theory data (PBE) for a relaxed Tm4AlZn2Pd crystal.

```
Tm4AlZn2Pd
1.0
4.966 0.000 0.000
2.483 4.301 0.000
2.483 1.434 8.119
Tm Zn Pd Al
4 2 1 1
Cartesian
2.483 1.434 5.012
7.449 4.301 3.107
4.966 2.867 1.091
4.966 2.867 7.029
7.449 4.301 6.202
2.483 1.434 1.918
4.966 2.867 4.060
0.000 0.000 0.000
```

Results
Energy of formation from the pure elements (kcal/mol of atoms): -12.03
Space group: R-3m (166)

***

Density functional theory data (PBE) for a relaxed HoSc2Pt crystal.

```
HoSc2Pt
1.0
6.122 0.000 0.000
0.000 6.795 0.000
0.000 0.000 9.085
Sc Pt Ho
8 4 4
Cartesian
5.046 2.198 5.062
1.985 1.200 4.023
1.985 1.200 0.519
5.046 2.198 8.565
4.137 5.595 8.565
1.076 4.597 0.519
1.076 4.597 4.023
4.137 5.595 5.062
3.460 0.741 6.813
2.662 6.054 2.271
5.723 4.138 6.813
0.399 2.656 2.271
0.723 6.681 6.813
3.784 3.511 2.271
5.399 0.114 2.271
2.338 3.283 6.813
```

Results
Energy of formation from the pure elements (kcal/mol of atoms): -16.32
Space group: Pnma (62)

***

Density functional theory data (PBE) for a relaxed NdHoNi2 crystal.

```
NdHoNi2
1.0
3.996 0.000 0.000
1.998 3.460 0.000
1.998 1.153 6.394
Ni Nd Ho
2 1 1
Cartesian
5.993 3.460 4.892
1.998 1.153 1.502
3.996 2.307 3.197
0.000 0.000 0.000
```

Results
Energy of formation from the pure elements (kcal/mol of atoms): -4.41
Space group: R-3m (166)

***

Density functional theory data (PBE) for a relaxed AgTeCl2 crystal.

```
AgTeCl2
1.0
0.000 3.629 3.629
3.629 0.000 3.629
3.629 3.629 0.000
Cl Ag Te
2 1 1
Cartesian
1.815 1.815 1.815
5.444 5.444 5.444
0.000 0.000 0.000
3.629 3.629 3.629
```

Results
Formation energy from raw total energies (eV per atom): 0.2566
Space group: Fm-3m (225)

***

Density functional theory data (PBE) for a relaxed ScPa5 crystal.

```
ScPa5
1.0
3.210 0.000 0.000
-1.605 5.913 -1.842
0.000 -0.179 7.829
Sc Pa
1 5
Cartesian
0.000 3.427 -0.496
1.605 1.820 1.838
1.605 1.197 5.305
1.605 5.343 1.588
0.000 3.634 3.953
1.605 5.695 5.851
```

Results
Energy of formation from the pure elements (kcal/mol of atoms): 1.23
Space group: Cm (8)